(1)
Computed, not measured: Si2Ge2P5 after structural relaxation at the PBE-GGA level of DFT.

Structure (POSCAR):
```
Si2Ge2P5
1.0
9.752 -1.776 0.000
9.752 1.776 0.000
-1.483 0.000 5.936
Si Ge P
2 2 5
Cartesian
1.119 0.000 1.540
16.902 0.000 4.397
7.421 0.000 0.879
10.600 0.000 5.057
3.132 0.000 0.408
6.603 0.000 3.022
9.752 0.000 0.000
11.418 0.000 2.915
14.889 0.000 5.528
```

**Uncorrected energy**: -45.7 eV per cell
**Formation energy from raw total energies**: 0.156 eV/atom



(2)
Computed, not measured: Si2GeP2 after structural relaxation at the PBE-GGA level of DFT.

Structure (POSCAR):
```
Si2GeP2
1.0
-1.907 1.907 6.068
1.907 -1.907 6.068
1.907 1.907 -6.068
Si Ge P
2 1 2
Cartesian
1.907 0.000 3.034
0.000 1.907 3.034
0.000 0.000 0.000
0.000 0.000 4.527
0.000 0.000 7.610
```

**Uncorrected energy**: -23.7 eV per cell
**Energy relative to the lowest polymorph listed for this composition**: 85 meV/atom
**Formation energy from raw total energies**: 0.516 eV/atom



(3)
Computed, not measured: Si2GeP2 after structural relaxation at the PBE-GGA level of DFT.

Structure (POSCAR):
```
Si2GeP2
1.0
6.981 0.000 0.000
0.000 6.981 0.000
0.000 0.000 3.295
Si Ge P
4 2 4
Cartesian
1.023 2.468 0.000
2.468 5.959 0.000
4.513 1.023 0.000
5.959 4.513 0.000
0.000 0.000 1.648
3.491 3.491 1.648
1.152 4.642 1.648
2.339 1.152 1.648
4.642 5.829 1.648
5.829 2.339 1.648
```

**Uncorrected energy**: -48.3 eV per cell
**Energy relative to the lowest polymorph listed for this composition**: 0 meV/atom
**Formation energy from raw total energies**: 0.431 eV/atom



(4)
Computed, not measured: Si3GeP after structural relaxation at the PBE-GGA level of DFT.

Structure (POSCAR):
```
Si3GeP
1.0
4.728 0.000 0.000
0.000 4.728 0.000
0.000 0.000 4.728
Si Ge P
3 1 1
Cartesian
0.000 0.000 2.364
0.000 2.364 0.000
2.364 0.000 0.000
0.000 0.000 0.000
2.364 2.364 2.364
```

**Uncorrected energy**: -20.1 eV per cell
**Energy relative to the lowest polymorph listed for this composition**: 421 meV/atom
**Formation energy from raw total energies**: 1.236 eV/atom



(5)
Computed, not measured: Si3GeP after structural relaxation at the PBE-GGA level of DFT.

Structure (POSCAR):
```
Si3GeP
1.0
4.564 0.000 0.000
0.000 4.564 0.000
0.000 0.000 4.564
Si Ge P
3 1 1
Cartesian
0.000 0.000 2.282
0.000 2.282 0.000
2.282 0.000 0.000
2.282 2.282 2.282
0.000 0.000 0.000
```

**Uncorrected energy**: -22.2 eV per cell
**Energy relative to the lowest polymorph listed for this composition**: 0 meV/atom
**Formation energy from raw total energies**: 0.815 eV/atom



(6)
Computed, not measured: TaSiGe2P after structural relaxation at the PBE-GGA level of DFT.

Structure (POSCAR):
```
TaSiGe2P
1.0
4.628 0.000 0.000
0.000 4.628 0.000
0.000 0.000 4.773
Ta Si Ge P
1 1 2 1
Cartesian
0.000 0.000 0.000
2.314 2.314 0.000
0.000 2.314 2.386
2.314 0.000 2.386
0.000 0.000 2.386
```

**Uncorrected energy**: -27.1 eV per cell
**Formation energy from raw total energies**: 0.968 eV/atom



(7)
Computed, not measured: Th4SiGe2P after structural relaxation at the PBE-GGA level of DFT.

Structure (POSCAR):
```
Th4SiGe2P
1.0
7.362 0.000 0.000
0.000 4.270 0.000
-2.468 0.000 6.944
Th Si Ge P
4 1 2 1
Cartesian
1.198 0.000 1.721
-0.038 2.135 5.206
3.697 0.000 5.222
4.932 2.135 1.737
-1.234 0.000 3.472
3.681 0.000 0.000
2.447 2.135 3.472
0.000 2.135 0.000
```

**Uncorrected energy**: -57.2 eV per cell
**Formation energy from raw total energies**: -0.929 eV/atom



(8)
Computed, not measured: Th6SiGe3P2 after structural relaxation at the PBE-GGA level of DFT.

Structure (POSCAR):
```
Th6SiGe3P2
1.0
9.251 -2.128 0.000
9.251 2.128 0.000
-1.921 0.000 8.260
Th Si Ge P
6 1 3 2
Cartesian
-0.448 0.000 2.057
5.337 0.000 3.471
4.419 0.000 7.547
12.162 0.000 0.712
11.244 0.000 4.788
17.030 0.000 6.202
9.251 0.000 0.000
1.489 0.000 6.869
8.291 0.000 4.130
15.093 0.000 1.390
2.454 0.000 2.758
14.128 0.000 5.501
```

**Uncorrected energy**: -86.6 eV per cell
**Formation energy from raw total energies**: -1.000 eV/atom



(9)
Computed, not measured: TlSi2GeP after structural relaxation at the PBE-GGA level of DFT.

Structure (POSCAR):
```
TlSi2GeP
1.0
5.132 0.000 0.000
0.000 5.132 0.000
0.000 0.000 5.200
Tl Si Ge P
1 2 1 1
Cartesian
0.000 0.000 0.000
0.000 2.566 0.000
2.566 0.000 0.000
2.566 2.566 2.600
0.000 0.000 2.600
```

**Uncorrected energy**: -15.6 eV per cell
**Formation energy from raw total energies**: 1.528 eV/atom



(10)
Computed, not measured: Sm5GeP4 after structural relaxation at the PBE-GGA level of DFT.

Structure (POSCAR):
```
Sm5GeP4
1.0
-4.618 4.618 2.918
4.618 -4.618 2.918
4.618 4.618 -2.918
Sm Ge P
5 1 4
Cartesian
0.000 0.000 0.000
3.659 1.780 0.000
2.838 -0.959 2.918
1.780 5.576 0.000
0.959 2.838 2.918
0.000 0.000 2.918
6.461 0.928 0.000
0.928 2.774 0.000
3.689 1.844 2.918
-1.844 3.689 2.918
```

**Formation energy from the elements**: -1.37 eV per atom
**Uncorrected energy**: -63.6 eV per cell



(11)
Computed, not measured: Sm5Ge2P2 after structural relaxation at the PBE-GGA level of DFT.

Structure (POSCAR):
```
Sm5Ge2P2
1.0
7.378 -3.896 0.000
7.378 3.896 0.000
0.000 0.000 7.871
Sm Ge P
10 4 4
Cartesian
0.000 0.000 0.000
5.392 2.609 5.203
5.392 1.287 1.268
9.363 2.609 5.203
9.363 1.287 1.268
7.378 0.000 3.936
5.392 -1.287 6.604
5.392 -2.609 2.668
9.363 -1.287 6.604
9.363 -2.609 2.668
2.981 0.000 0.000
4.397 0.000 3.936
10.358 0.000 3.936
11.774 0.000 0.000
7.378 2.783 2.804
7.378 1.113 6.739
7.378 -1.113 1.132
7.378 -2.783 5.068
```

**Formation energy from the elements**: -1.04 eV per atom
**Uncorrected energy**: -106.0 eV per cell



(12)
Computed, not measured: SmGeP2 after structural relaxation at the PBE-GGA level of DFT.

Structure (POSCAR):
```
SmGeP2
1.0
2.185 1.261 7.164
-2.185 1.261 7.164
0.000 -2.523 7.164
Sm Ge P
1 1 2
Cartesian
0.000 0.000 0.000
0.000 0.000 10.746
0.000 0.000 8.553
0.000 0.000 12.938
```

**Formation energy from the elements**: -0.18 eV per atom
**Uncorrected energy**: -20.9 eV per cell



(13)
Computed, not measured: Sm4GeP3 after structural relaxation at the PBE-GGA level of DFT.

Structure (POSCAR):
```
Sm4GeP3
1.0
5.851 0.000 0.000
0.000 5.851 0.000
0.000 0.000 5.851
Sm Ge P
4 1 3
Cartesian
0.000 0.000 0.000
0.000 2.926 2.926
2.926 0.000 2.926
2.926 2.926 0.000
2.926 2.926 2.926
0.000 0.000 2.926
0.000 2.926 0.000
2.926 0.000 0.000
```

**Formation energy from the elements**: -1.32 eV per atom
**Uncorrected energy**: -50.3 eV per cell



(14)
Computed, not measured: Sm8GeP5 after structural relaxation at the PBE-GGA level of DFT.

Structure (POSCAR):
```
Sm8GeP5
1.0
-4.383 4.383 4.366
4.383 -4.383 4.366
4.383 4.383 -4.366
Sm Ge P
8 1 5
Cartesian
3.828 2.820 -2.721
3.808 1.630 0.536
0.556 1.564 1.645
2.753 -0.575 3.831
1.630 4.958 -0.536
1.564 -0.556 7.087
0.575 2.753 4.902
2.820 4.939 2.721
0.000 4.383 2.183
1.109 2.209 -1.084
6.557 1.109 1.084
0.000 0.000 4.366
3.274 2.174 3.283
-2.174 3.274 5.450
```

**Formation energy from the elements**: -1.23 eV per atom
**Uncorrected energy**: -86.6 eV per cell



(15)
Computed, not measured: SmTc2Ge2P after structural relaxation at the PBE-GGA level of DFT.

Structure (POSCAR):
```
SmTc2Ge2P
1.0
4.464 0.000 0.000
0.000 4.464 0.000
0.000 0.000 5.579
Sm Tc Ge P
1 2 2 1
Cartesian
0.000 0.000 0.000
0.000 2.232 2.790
2.232 0.000 2.790
2.232 2.232 1.247
2.232 2.232 4.332
0.000 0.000 2.790
```

**Formation energy from the elements**: -0.37 eV per atom
**Uncorrected energy**: -42.3 eV per cell



(16)
Computed, not measured: Sm4GeTe2P after structural relaxation at the PBE-GGA level of DFT.

Structure (POSCAR):
```
Sm4GeTe2P
1.0
7.400 0.000 0.000
0.000 4.275 0.000
-2.464 0.000 7.208
Sm Ge Te P
4 1 2 1
Cartesian
1.219 0.000 1.563
-0.011 2.137 5.616
4.948 2.137 1.592
3.718 0.000 5.645
3.700 0.000 0.000
-1.232 0.000 3.604
2.468 2.137 3.604
0.000 2.137 0.000
```

**Uncorrected energy**: -46.4 eV per cell
**Formation energy from raw total energies**: -1.402 eV/atom



(17)
Computed, not measured: Sm6GeTe3P2 after structural relaxation at the PBE-GGA level of DFT.

Structure (POSCAR):
```
Sm6GeTe3P2
1.0
9.476 -2.125 0.000
9.476 2.125 0.000
-2.331 0.000 8.413
Sm Ge Te P
6 1 3 2
Cartesian
-0.397 0.000 1.982
5.141 0.000 3.673
4.345 0.000 7.532
12.276 0.000 0.880
11.480 0.000 4.740
17.018 0.000 6.431
9.476 0.000 0.000
1.215 0.000 7.003
8.311 0.000 4.206
15.406 0.000 1.410
2.395 0.000 2.818
14.226 0.000 5.594
```

**Uncorrected energy**: -70.7 eV per cell
**Formation energy from raw total energies**: -1.457 eV/atom



(18)
Computed, not measured: Sm8Ge3Te3P after structural relaxation at the PBE-GGA level of DFT.

Structure (POSCAR):
```
Sm8Ge3Te3P
1.0
4.277 2.470 7.197
-4.277 2.470 7.197
0.000 -4.939 7.197
Sm Ge Te P
8 3 3 1
Cartesian
0.000 0.000 5.208
-2.102 -1.213 12.358
0.000 -2.427 9.232
-2.102 1.213 9.232
2.102 -1.213 12.358
0.000 2.427 12.358
2.102 1.213 9.232
0.000 0.000 16.383
-4.277 0.000 10.795
-2.139 1.235 3.598
2.139 1.235 3.598
-2.139 -1.235 7.197
-2.139 1.235 14.393
0.000 2.470 7.197
0.000 0.000 10.795
```

**Uncorrected energy**: -83.6 eV per cell
**Formation energy from raw total energies**: -1.144 eV/atom



(19)
Computed, not measured: SnGeP after structural relaxation at the PBE-GGA level of DFT.

Structure (POSCAR):
```
SnGeP
1.0
3.573 0.000 0.000
-1.645 6.628 0.000
-1.784 -2.447 6.325
Sn Ge P
2 2 2
Cartesian
0.000 0.000 0.000
-1.702 1.693 5.227
-1.654 2.939 2.561
1.762 -0.807 3.956
-1.669 5.355 2.476
0.132 2.491 1.084
```

**Formation energy from the elements**: 0.09 eV per atom
**Uncorrected energy**: -27.5 eV per cell
**Energy relative to the lowest polymorph listed for this composition**: 0 meV/atom



(20)
Computed, not measured: SnGeP after structural relaxation at the PBE-GGA level of DFT.

Structure (POSCAR):
```
SnGeP
1.0
-1.694 1.694 5.389
1.694 -1.694 5.389
1.694 1.694 -5.389
Sn Ge P
1 1 1
Cartesian
0.000 0.000 0.000
0.000 0.000 3.083
0.000 0.000 7.305
```

**Formation energy from the elements**: 0.24 eV per atom
**Uncorrected energy**: -13.3 eV per cell
**Energy relative to the lowest polymorph listed for this composition**: 144 meV/atom



(21)
Computed, not measured: Sn3GeP after structural relaxation at the PBE-GGA level of DFT.

Structure (POSCAR):
```
Sn3GeP
1.0
5.224 0.000 0.000
0.000 5.224 0.000
0.000 0.000 5.224
Sn Ge P
3 1 1
Cartesian
0.000 0.000 2.612
0.000 2.612 0.000
2.612 0.000 0.000
2.612 2.612 2.612
0.000 0.000 0.000
```

**Formation energy from the elements**: 0.53 eV per atom
**Uncorrected energy**: -19.4 eV per cell
**Energy relative to the lowest polymorph listed for this composition**: 0 meV/atom



(22)
Computed, not measured: SnGeP after structural relaxation at the PBE-GGA level of DFT.

Structure (POSCAR):
```
SnGeP
1.0
3.723 0.000 0.000
-1.862 3.224 0.000
0.000 0.000 5.437
Sn Ge P
1 1 1
Cartesian
0.000 0.000 0.000
0.000 2.150 3.196
1.862 1.075 1.882
```

**Formation energy from the elements**: 0.10 eV per atom
**Uncorrected energy**: -13.7 eV per cell
**Energy relative to the lowest polymorph listed for this composition**: 7 meV/atom



(23)
Computed, not measured: Sn2Ge2P after structural relaxation at the PBE-GGA level of DFT.

Structure (POSCAR):
```
Sn2Ge2P
1.0
6.442 0.000 0.000
0.000 6.442 0.000
0.000 0.000 5.687
Sn Ge P
4 4 2
Cartesian
1.408 1.813 0.000
1.813 5.034 0.000
4.629 1.408 0.000
5.034 4.629 0.000
0.926 2.295 2.844
2.295 5.516 2.844
4.147 0.926 2.844
5.516 4.147 2.844
0.000 0.000 2.844
3.221 3.221 2.844
```

**Formation energy from the elements**: 0.27 eV per atom
**Uncorrected energy**: -42.6 eV per cell



(24)
Computed, not measured: Sn3GeP after structural relaxation at the PBE-GGA level of DFT.

Structure (POSCAR):
```
Sn3GeP
1.0
5.298 0.000 0.000
0.000 5.298 0.000
0.000 0.000 5.298
Sn Ge P
3 1 1
Cartesian
0.000 0.000 2.649
0.000 2.649 0.000
2.649 0.000 0.000
0.000 0.000 0.000
2.649 2.649 2.649
```

**Formation energy from the elements**: 0.77 eV per atom
**Uncorrected energy**: -18.2 eV per cell
**Energy relative to the lowest polymorph listed for this composition**: 243 meV/atom



(25)
Computed, not measured: SnGe2P2 after structural relaxation at the PBE-GGA level of DFT.

Structure (POSCAR):
```
SnGe2P2
1.0
-1.722 1.722 8.516
1.722 -1.722 8.516
1.722 1.722 -8.516
Sn Ge P
1 2 2
Cartesian
0.000 0.000 0.000
0.000 0.000 6.560
0.000 0.000 10.473
1.722 0.000 4.258
0.000 1.722 4.258
```

**Formation energy from the elements**: 0.35 eV per atom
**Uncorrected energy**: -22.3 eV per cell
**Energy relative to the lowest polymorph listed for this composition**: 126 meV/atom